First-principles (GGA-PBE) data for a relaxed structure of LiPm3Se2Cl6, as listed in Alexandria via LeMat-Bulk.

## Properties
Raw total energy (eV/atom): -4.8629
M_tot (μB/f.u.): 0.0

Lattice parameters (Å, degrees): 13.7725 8.2712 6.2584 90.00 91.49 90.00
Last column: nearest neighbours and their distance in Å.
Space group C2/m (No. 12)
One atom of each set of equivalent atoms:
Li: 0.0000 0.0000 0.0000  2 Cl 2.50
Pm: 0.0000 0.5000 0.5000  4 Cl 2.80, 2 Se 2.87
Pm: 0.2500 0.2500 0.0000  4 Cl 2.78-2.79, 2 Se 2.86
Se: 0.1762 0.5000 0.2664  3 Pm 2.86-2.87
Cl: 0.0772 0.2510 0.7566  2 Pm 2.79-2.80, 1 Li 2.80
Cl: 0.1567 0.0000 0.2107  1 Li 2.50, 2 Pm 2.78

***

First-principles (GGA-PBE) data for a relaxed structure of LiPmSnCl6, as listed in Alexandria via LeMat-Bulk.

## Properties
Raw total energy (eV/atom): -4.1452
M_tot (μB/f.u.): 0.0

Lattice parameters (Å, degrees): 6.8114 6.8114 12.5246 90.00 90.00 120.00
Last column: nearest neighbours and their distance in Å.
Space group P-31c (No. 163)
One atom of each set of equivalent atoms:
Li: 0.3333 0.6667 0.2500  6 Cl 2.62
Pm: 0.3333 0.6667 0.7500  6 Cl 2.73
Sn: 0.0000 0.0000 0.0000  6 Cl 2.89
Cl: 0.0126 0.3552 0.1305  1 Li 2.62, 1 Pm 2.73, 1 Sn 2.89

***

| no. | N(E_F) (states/eV per atom) |
| --- | --- |
| 1 | 0.000 |
| 2 | 0.000 |